Entry 1:
{
  "formula": "AcSb4Br",
  "functional": "PBE-GGA",
  "state": "relaxed",
  "lattice_angstrom": [[0.000, 4.496, 4.496], [4.496, 0.000, 4.496], [4.496, 4.496, 0.000]],
  "species": ["Ac", "Sb", "Sb", "Sb", "Sb", "Br"],
  "frac_coords": [[0.000, 0.000, 0.000], [0.377, 0.377, 0.377], [0.377, 0.377, 0.869], [0.377, 0.869, 0.377], [0.869, 0.377, 0.377], [0.750, 0.750, 0.750]],
  "n_ef_per_ev_cell": 6.63,
  "e_tot_ev_per_atom": -4.096,
  "density_g_cm3": 7.252
}

Entry 2:
{
  "formula": "TbSmGaAg",
  "functional": "PBE-GGA",
  "state": "relaxed",
  "lattice_angstrom": [[0.000, 3.663, 3.663], [3.663, 0.000, 3.663], [3.663, 3.663, 0.000]],
  "species": ["Tb", "Sm", "Ga", "Ag"],
  "frac_coords": [[0.000, 0.000, 0.000], [0.500, 0.500, 0.500], [0.250, 0.250, 0.250], [0.750, 0.750, 0.750]],
  "n_ef_per_ev_cell": 3.79,
  "e_tot_ev_per_atom": -4.243,
  "density_g_cm3": 8.227,
  "formation_enthalpy_0k_mev_per_atom": -436
}

Entry 3:
{
  "formula": "PuBi2RhO8",
  "functional": "PBE-GGA",
  "state": "relaxed",
  "lattice_angstrom": [[3.612, -3.677, 0.000], [3.612, 3.677, 0.000], [0.000, 0.000, 6.655]],
  "species": ["Pu", "Bi", "Bi", "Rh", "O", "O", "O", "O", "O", "O", "O", "O"],
  "frac_coords": [[0.000, 0.000, 0.000], [0.500, 0.500, 0.259], [0.500, 0.500, 0.741], [0.000, 0.000, 0.500], [0.176, 0.824, 0.249], [0.176, 0.824, 0.751], [0.274, 0.274, 0.500], [0.297, 0.297, 0.000], [0.703, 0.703, 0.000], [0.726, 0.726, 0.500], [0.824, 0.176, 0.249], [0.824, 0.176, 0.751]],
  "n_ef_per_ev_cell": 9.81,
  "e_tot_ev_per_atom": -7.196,
  "density_g_cm3": 8.386
}